(1)
# PBE HoCoSi, optimized geometry
# Uncorrected formation energy = -0.64 eV per atom
data_HoCoSi
_cell_length_a 3.9920
_cell_length_b 3.9920
_cell_length_c 3.8356
_cell_angle_alpha 90.00
_cell_angle_beta 90.00
_cell_angle_gamma 120.00
_space_group_name_H-M_alt 'P -6 m 2'
_space_group_IT_number 187
_space_group_name_Hall 'P -6 2'
loop_
_atom_site_label
_atom_site_type_symbol
_atom_site_fract_x
_atom_site_fract_y
_atom_site_fract_z
_atom_site_occupancy
Ho1 Ho 0.0000 0.0000 0.0000 1
Co1 Co 0.6667 0.3333 0.5000 1
Si1 Si 0.3333 0.6667 0.5000 1

---

(2)
# PBE HoCo2Si3, optimized geometry
# Uncorrected formation energy = -0.67 eV per atom
# ΔE to the lowest computed polymorph = 22.6 meV/atom
data_HoCo2Si3
_cell_length_a 9.3558
_cell_length_b 7.2726
_cell_length_c 5.0160
_cell_angle_alpha 90.00
_cell_angle_beta 90.00
_cell_angle_gamma 90.00
_space_group_name_H-M_alt 'C m c m'
_space_group_IT_number 63
_space_group_name_Hall '-C 2c 2'
loop_
_atom_site_label
_atom_site_type_symbol
_atom_site_fract_x
_atom_site_fract_y
_atom_site_fract_z
_atom_site_occupancy
Ho1 Ho 0.0000 0.1630 0.2500 1
Co1 Co 0.2005 0.5000 0.0000 1
Si1 Si 0.0000 0.4367 0.7500 1
Si2 Si 0.1874 0.2145 0.7500 1

---

(3)
# PBE Ho2Co2Si, optimized geometry
# Uncorrected formation energy = -0.54 eV per atom
data_Ho2Co2Si
_cell_length_a 9.1612
_cell_length_b 5.3513
_cell_length_c 7.2803
_cell_angle_alpha 90.00
_cell_angle_beta 102.92
_cell_angle_gamma 90.00
_space_group_name_H-M_alt 'C 1 2/c 1'
_space_group_IT_number 15
_space_group_name_Hall '-C 2yc'
loop_
_atom_site_label
_atom_site_type_symbol
_atom_site_fract_x
_atom_site_fract_y
_atom_site_fract_z
_atom_site_occupancy
Ho1 Ho 0.1492 0.1377 0.1484 1
Co1 Co 0.1311 0.3651 0.5033 1
Si1 Si 0.0000 0.3808 0.7500 1

---

(4)
# PBE Ho4CoSi3, optimized geometry
# Uncorrected formation energy = -0.67 eV per atom
data_Ho4CoSi3
_cell_length_a 3.8145
_cell_length_b 4.1901
_cell_length_c 10.5365
_cell_angle_alpha 90.00
_cell_angle_beta 90.00
_cell_angle_gamma 90.00
_space_group_name_H-M_alt 'P m m 2'
_space_group_IT_number 25
_space_group_name_Hall 'P 2 -2'
loop_
_atom_site_label
_atom_site_type_symbol
_atom_site_fract_x
_atom_site_fract_y
_atom_site_fract_z
_atom_site_occupancy
Ho1 Ho 0.0000 0.0000 0.0000 1
Ho2 Ho 0.0000 0.5000 0.4909 1
Ho3 Ho 0.5000 0.0000 0.7089 1
Ho4 Ho 0.5000 0.5000 0.2160 1
Co1 Co 0.0000 0.0000 0.2838 1
Si1 Si 0.0000 0.5000 0.7768 1
Si2 Si 0.5000 0.0000 0.4202 1
Si3 Si 0.5000 0.5000 0.9232 1

---

(5)
# PBE Ho3CoSi3, optimized geometry
# Uncorrected formation energy = -0.79 eV per atom
data_Ho3CoSi3
_cell_length_a 10.4277
_cell_length_b 4.1539
_cell_length_c 13.4093
_cell_angle_alpha 90.00
_cell_angle_beta 111.11
_cell_angle_gamma 90.00
_space_group_name_H-M_alt 'C 1 2/m 1'
_space_group_IT_number 12
_space_group_name_Hall '-C 2y'
loop_
_atom_site_label
_atom_site_type_symbol
_atom_site_fract_x
_atom_site_fract_y
_atom_site_fract_z
_atom_site_occupancy
Ho1 Ho 0.0243 0.0000 0.3793 1
Ho2 Ho 0.1004 0.0000 0.9194 1
Ho3 Ho 0.2474 0.0000 0.2288 1
Co1 Co 0.2474 0.5000 0.4182 1
Si1 Si 0.0536 0.5000 0.2421 1
Si2 Si 0.1152 0.5000 0.0760 1
Si3 Si 0.1395 0.5000 0.5438 1

---

(6)
# PBE Ho3Co6Si5, optimized geometry
# Uncorrected formation energy = -0.72 eV per atom
data_Ho3Co6Si5
_cell_length_a 3.8347
_cell_length_b 11.6290
_cell_length_c 9.3492
_cell_angle_alpha 90.00
_cell_angle_beta 90.00
_cell_angle_gamma 90.00
_space_group_name_H-M_alt 'P m m n'
_space_group_IT_number 59
loop_
_space_group_symop_operation_xyz
'x,y,z'
'-x,-y,-z'
'-x+1/2,-y+1/2,z'
'x+1/2,y+1/2,-z'
'x+1/2,-y,-z'
'-x+1/2,y,z'
'-x,y+1/2,-z'
'x,-y+1/2,z'
loop_
_atom_site_label
_atom_site_type_symbol
_atom_site_fract_x
_atom_site_fract_y
_atom_site_fract_z
_atom_site_occupancy
Ho1 Ho 0.2500 0.0893 0.2446 1
Ho2 Ho 0.2500 0.7500 0.2519 1
Co1 Co 0.2500 0.0524 0.9031 1
Co2 Co 0.2500 0.2500 0.5168 1
Co3 Co 0.2500 0.2500 0.9976 1
Co4 Co 0.2500 0.5797 0.4912 1
Si1 Si 0.2500 0.0770 0.6458 1
Si2 Si 0.2500 0.6302 0.9889 1
Si3 Si 0.2500 0.7500 0.6077 1

---

(7)
# PBE HoCo4Si12, optimized geometry
# Uncorrected formation energy = -0.16 eV per atom
data_HoCo4Si12
_cell_length_a 8.0081
_cell_length_b 8.0081
_cell_length_c 8.0081
_cell_angle_alpha 90.00
_cell_angle_beta 90.00
_cell_angle_gamma 90.00
_space_group_name_H-M_alt 'I m -3'
_space_group_IT_number 204
_space_group_name_Hall '-I 2 2 3'
loop_
_atom_site_label
_atom_site_type_symbol
_atom_site_fract_x
_atom_site_fract_y
_atom_site_fract_z
_atom_site_occupancy
Ho1 Ho 0.0000 0.0000 0.0000 1
Co1 Co 0.2500 0.2500 0.2500 1
Si1 Si 0.0000 0.3476 0.1661 1

---

(8)
# PBE HoCo12Si6, optimized geometry
# Uncorrected formation energy = -0.36 eV per atom
data_HoCo12Si6
_cell_length_a 10.3149
_cell_length_b 10.3149
_cell_length_c 7.7317
_cell_angle_alpha 90.00
_cell_angle_beta 90.00
_cell_angle_gamma 120.00
_space_group_name_H-M_alt 'R -3 m'
_space_group_IT_number 166
_space_group_name_Hall '-R 3 2"'
loop_
_atom_site_label
_atom_site_type_symbol
_atom_site_fract_x
_atom_site_fract_y
_atom_site_fract_z
_atom_site_occupancy
Ho1 Ho 0.0000 0.0000 0.0000 1
Co1 Co 0.0000 0.3718 0.5000 1
Co2 Co 0.0860 0.1719 0.3506 1
Si1 Si 0.0334 0.5167 0.2719 1

---

(9)
# PBE HoCo5Si3, optimized geometry
# Uncorrected formation energy = -0.54 eV per atom
data_HoCo5Si3
_cell_length_a 3.6956
_cell_length_b 11.6901
_cell_length_c 11.1628
_cell_angle_alpha 90.00
_cell_angle_beta 90.00
_cell_angle_gamma 90.00
_space_group_name_H-M_alt 'C m c m'
_space_group_IT_number 63
_space_group_name_Hall '-C 2c 2'
loop_
_atom_site_label
_atom_site_type_symbol
_atom_site_fract_x
_atom_site_fract_y
_atom_site_fract_z
_atom_site_occupancy
Ho1 Ho 0.0000 0.1703 0.2500 1
Co1 Co 0.0000 0.0000 0.0000 1
Co2 Co 0.0000 0.1939 0.5653 1
Co3 Co 0.0000 0.4501 0.1456 1
Si1 Si 0.0000 0.1099 0.7500 1
Si2 Si 0.0000 0.3803 0.5430 1

---

(10)
# PBE HoThCo2Si2, optimized geometry
# Uncorrected formation energy = -0.69 eV per atom
data_HoThCo2Si2
_cell_length_a 3.9746
_cell_length_b 3.9746
_cell_length_c 8.0930
_cell_angle_alpha 90.00
_cell_angle_beta 90.00
_cell_angle_gamma 120.00
_space_group_name_H-M_alt 'P -3 m 1'
_space_group_IT_number 164
_space_group_name_Hall '-P 3 2"'
loop_
_atom_site_label
_atom_site_type_symbol
_atom_site_fract_x
_atom_site_fract_y
_atom_site_fract_z
_atom_site_occupancy
Ho1 Ho 0.0000 0.0000 0.0000 1
Th1 Th 0.0000 0.0000 0.5000 1
Co1 Co 0.3333 0.6667 0.2570 1
Si1 Si 0.3333 0.6667 0.7638 1

---

(11)
# PBE HoZn2Co2Si, optimized geometry
# Uncorrected formation energy = -0.19 eV per atom
data_HoZn2Co2Si
_cell_length_a 4.2201
_cell_length_b 4.2201
_cell_length_c 5.5396
_cell_angle_alpha 90.00
_cell_angle_beta 90.00
_cell_angle_gamma 90.00
_space_group_name_H-M_alt 'P 4/m m m'
_space_group_IT_number 123
_space_group_name_Hall '-P 4 2'
loop_
_atom_site_label
_atom_site_type_symbol
_atom_site_fract_x
_atom_site_fract_y
_atom_site_fract_z
_atom_site_occupancy
Ho1 Ho 0.0000 0.0000 0.0000 1
Zn1 Zn 0.5000 0.5000 0.2329 1
Co1 Co 0.0000 0.5000 0.5000 1
Si1 Si 0.0000 0.0000 0.5000 1

---

(12)
# PBE Ho2ZnCo5Si2, optimized geometry
# Uncorrected formation energy = -0.39 eV per atom
data_Ho2ZnCo5Si2
_cell_length_a 9.3740
_cell_length_b 9.3740
_cell_length_c 3.2583
_cell_angle_alpha 90.00
_cell_angle_beta 90.00
_cell_angle_gamma 90.00
_space_group_name_H-M_alt 'P 4/m b m'
_space_group_IT_number 127
_space_group_name_Hall '-P 4 2ab'
loop_
_atom_site_label
_atom_site_type_symbol
_atom_site_fract_x
_atom_site_fract_y
_atom_site_fract_z
_atom_site_occupancy
Ho1 Ho 0.1766 0.3234 0.0000 1
Zn1 Zn 0.0000 0.0000 0.0000 1
Co1 Co 0.0000 0.5000 0.5000 1
Co2 Co 0.0653 0.7844 0.5000 1
Si1 Si 0.1210 0.6210 0.0000 1